! RbPuSe2 GGA-PBE relaxed; values from VASP
! formation energy without anion corrections: -554 kJ/mol of formula units
! SG: R3m
! N(E_F): 10.31 states/eV per cell
&SYSTEM
  ibrav = 0, nat = 4, ntyp = 3
/
ATOMIC_SPECIES
Se 78.96 Se.upf
Pu 244.00 Pu.upf
Rb 85.47 Rb.upf
ATOMIC_POSITIONS angstrom
Se 2.1464 1.2392 1.5480
Pu 6.4392 3.7177 8.0516
Rb 4.2928 2.4785 4.0789
Se 2.1464 1.2392 6.4937
CELL_PARAMETERS angstrom
4.2928 0.0000 0.0000
2.1464 3.7177 0.0000
2.1464 1.2392 8.0689